Density functional theory data (PBE with a Hubbard U) for crystalline Cu2ReWO at its relaxed geometry.

a = 4.836 Å, b = 3.696 Å, c = 4.836 Å
α = 90.00°, β = 90.00°, γ = 90.00°
Fractional positions:
O 0.000 0.500 0.000
Re 0.500 0.500 0.500
Cu 0.000 0.000 0.500
Cu 0.500 0.000 0.000
W 0.000 0.000 0.000

Calculated values
* electronic total energy: -26.92 eV per formula unit
* magnetic moment: 2.47 Bohr magnetons per cell
* crystal system: tetragonal
* SG: No. 123
* V: 86.4 Å³ per cell